A geometry-optimized MnTlO3 structure, computed with PBE with a Hubbard U.

a = 6.470 Å, b = 6.470 Å, c = 6.470 Å
α = 47.71°, β = 47.71°, γ = 47.71°
Fractional positions:
Mn  0.335  0.335  0.335
Mn  0.665  0.665  0.665
Tl  0.125  0.125  0.125
Tl  0.875  0.875  0.875
O  0.678  0.451  0.060
O  0.060  0.678  0.451
O  0.451  0.060  0.678
O  0.549  0.940  0.322
O  0.940  0.322  0.549
O  0.322  0.549  0.940

## Properties
Calculated total energy, eV per formula unit: -29.77
Spin magnetization, μB/cell: 5.63